1.
! MgHgSe2 PBE relaxed; values from VASP
&SYSTEM
  ibrav = 0, nat = 8, ntyp = 3
/
ATOMIC_SPECIES
Mg 24.30 Mg.upf
Hg 200.59 Hg.upf
Se 78.96 Se.upf
ATOMIC_POSITIONS crystal
Mg 0.033 0.033 0.266
Mg 0.967 0.967 0.734
Hg 0.237 0.237 0.319
Hg 0.763 0.763 0.681
Se 0.098 0.098 0.601
Se 0.451 0.451 0.073
Se 0.549 0.549 0.927
Se 0.902 0.902 0.399
CELL_PARAMETERS angstrom
7.451 -2.151 0.000
7.451 2.151 0.000
-4.629 0.000 7.626
! ΔE_f (raw): -9.95 kcal/mol of atoms
! Electronic total energy: -21.2 eV per cell
! Polymorph energy (0 for the lowest one): 291 meV/atom
! Total magnetic moment: 0.00 μB per formula unit


2.
! MgHg3Se PBE relaxed; values from VASP
&SYSTEM
  ibrav = 0, nat = 5, ntyp = 3
/
ATOMIC_SPECIES
Mg 24.30 Mg.upf
Hg 200.59 Hg.upf
Se 78.96 Se.upf
ATOMIC_POSITIONS crystal
Mg 0.000 0.000 0.000
Hg 0.000 0.000 0.500
Hg 0.000 0.500 0.000
Hg 0.500 0.000 0.000
Se 0.500 0.500 0.500
CELL_PARAMETERS angstrom
5.381 0.000 0.000
0.000 5.381 0.000
0.000 0.000 5.381
! ΔE_f (raw): 6.03 kcal/mol of atoms
! Electronic total energy: -4.7 eV per cell
! Polymorph energy (0 for the lowest one): 0 meV/atom
! Total magnetic moment: 0.32 μB per formula unit


3.
! MgHgSe2 PBE relaxed; values from VASP
&SYSTEM
  ibrav = 0, nat = 4, ntyp = 3
/
ATOMIC_SPECIES
Mg 24.30 Mg.upf
Hg 200.59 Hg.upf
Se 78.96 Se.upf
ATOMIC_POSITIONS crystal
Mg 0.000 0.000 0.000
Hg 0.751 0.251 0.500
Se 0.159 0.659 0.500
Se 0.425 0.425 0.000
CELL_PARAMETERS angstrom
-1.867 1.884 6.601
1.867 -1.884 6.601
1.867 1.884 -6.601
! ΔE_f (raw): -9.91 kcal/mol of atoms
! Electronic total energy: -10.6 eV per cell
! Polymorph energy (0 for the lowest one): 293 meV/atom
! Total magnetic moment: 0.00 μB per formula unit


4.
! MgSiHg2Se4 PBE relaxed; values from VASP
&SYSTEM
  ibrav = 0, nat = 8, ntyp = 4
/
ATOMIC_SPECIES
Mg 24.30 Mg.upf
Si 28.09 Si.upf
Hg 200.59 Hg.upf
Se 78.96 Se.upf
ATOMIC_POSITIONS crystal
Mg 0.000 0.000 0.000
Si 0.500 0.749 0.250
Hg 0.000 0.500 0.500
Hg 0.500 0.248 0.749
Se 0.096 0.413 0.929
Se 0.484 0.070 0.167
Se 0.516 0.681 0.586
Se 0.904 0.832 0.317
CELL_PARAMETERS angstrom
6.708 0.000 0.000
-3.099 5.951 0.000
-3.105 -2.185 5.533
! ΔE_f (raw): -8.64 kcal/mol of atoms
! Electronic total energy: -24.6 eV per cell
! Total magnetic moment: 0.00 μB per formula unit


5.
! MgSnHgSe4 PBE relaxed; values from VASP
&SYSTEM
  ibrav = 0, nat = 14, ntyp = 4
/
ATOMIC_SPECIES
Mg 24.30 Mg.upf
Sn 118.71 Sn.upf
Hg 200.59 Hg.upf
Se 78.96 Se.upf
ATOMIC_POSITIONS crystal
Mg 0.500 0.000 0.000
Mg 0.500 0.500 0.500
Sn 0.000 0.000 0.000
Sn 0.500 0.000 0.500
Hg 0.101 0.351 0.750
Hg 0.899 0.649 0.250
Se 0.257 0.240 0.483
Se 0.257 0.773 0.017
Se 0.269 0.238 0.031
Se 0.293 0.762 0.531
Se 0.707 0.238 0.469
Se 0.731 0.762 0.969
Se 0.743 0.227 0.983
Se 0.743 0.760 0.517
CELL_PARAMETERS angstrom
-4.060 4.089 5.660
4.060 -4.089 5.660
4.060 4.089 -5.660
! ΔE_f (raw): -12.62 kcal/mol of atoms
! Electronic total energy: -47.3 eV per cell
! Total magnetic moment: 0.00 μB per formula unit


6.
! MgSn2HgSe4 PBE relaxed; values from VASP
&SYSTEM
  ibrav = 0, nat = 8, ntyp = 4
/
ATOMIC_SPECIES
Mg 24.30 Mg.upf
Sn 118.71 Sn.upf
Hg 200.59 Hg.upf
Se 78.96 Se.upf
ATOMIC_POSITIONS crystal
Mg 0.000 0.000 0.000
Sn 0.500 0.000 0.500
Sn 0.500 0.500 0.000
Hg 0.000 0.500 0.500
Se 0.234 0.500 0.228
Se 0.237 0.000 0.757
Se 0.763 0.000 0.243
Se 0.766 0.500 0.772
CELL_PARAMETERS angstrom
7.148 0.000 0.000
0.000 4.136 0.000
-2.536 0.000 6.840
! ΔE_f (raw): -11.85 kcal/mol of atoms
! Electronic total energy: -27.9 eV per cell
! Total magnetic moment: 0.00 μB per formula unit


7.
! Mg2TaHgSe PBE relaxed; values from VASP
&SYSTEM
  ibrav = 0, nat = 5, ntyp = 4
/
ATOMIC_SPECIES
Mg 24.30 Mg.upf
Ta 180.95 Ta.upf
Hg 200.59 Hg.upf
Se 78.96 Se.upf
ATOMIC_POSITIONS crystal
Mg 0.000 0.500 0.000
Mg 0.500 0.000 0.000
Ta 0.000 0.000 0.000
Hg 0.500 0.500 0.500
Se 0.000 0.000 0.500
CELL_PARAMETERS angstrom
5.649 0.000 0.000
0.000 5.649 0.000
0.000 0.000 4.870
! ΔE_f (raw): 9.81 kcal/mol of atoms
! Electronic total energy: -16.7 eV per cell
! Total magnetic moment: 1.81 μB per formula unit


8.
! MgTlHg2Se PBE relaxed; values from VASP
&SYSTEM
  ibrav = 0, nat = 5, ntyp = 4
/
ATOMIC_SPECIES
Mg 24.30 Mg.upf
Tl 204.38 Tl.upf
Hg 200.59 Hg.upf
Se 78.96 Se.upf
ATOMIC_POSITIONS crystal
Mg 0.000 0.000 0.000
Tl 0.500 0.500 0.500
Hg 0.000 0.500 0.000
Hg 0.500 0.000 0.000
Se 0.000 0.000 0.500
CELL_PARAMETERS angstrom
5.535 0.000 0.000
0.000 5.535 0.000
0.000 0.000 5.082
! ΔE_f (raw): -3.88 kcal/mol of atoms
! Electronic total energy: -8.9 eV per cell
! Total magnetic moment: 0.00 μB per formula unit


> The lowest electronic total energy belongs to which entry?

MgSnHgSe4


> Which formula does entry 2 have?

MgHg3Se


Repeat the sixth record exactly.
! MgSn2HgSe4 PBE relaxed; values from VASP
&SYSTEM
  ibrav = 0, nat = 8, ntyp = 4
/
ATOMIC_SPECIES
Mg 24.30 Mg.upf
Sn 118.71 Sn.upf
Hg 200.59 Hg.upf
Se 78.96 Se.upf
ATOMIC_POSITIONS crystal
Mg 0.000 0.000 0.000
Sn 0.500 0.000 0.500
Sn 0.500 0.500 0.000
Hg 0.000 0.500 0.500
Se 0.234 0.500 0.228
Se 0.237 0.000 0.757
Se 0.763 0.000 0.243
Se 0.766 0.500 0.772
CELL_PARAMETERS angstrom
7.148 0.000 0.000
0.000 4.136 0.000
-2.536 0.000 6.840
! ΔE_f (raw): -11.85 kcal/mol of atoms
! Electronic total energy: -27.9 eV per cell
! Total magnetic moment: 0.00 μB per formula unit


Repeat the sixth record exactly.
! MgSn2HgSe4 PBE relaxed; values from VASP
&SYSTEM
  ibrav = 0, nat = 8, ntyp = 4
/
ATOMIC_SPECIES
Mg 24.30 Mg.upf
Sn 118.71 Sn.upf
Hg 200.59 Hg.upf
Se 78.96 Se.upf
ATOMIC_POSITIONS crystal
Mg 0.000 0.000 0.000
Sn 0.500 0.000 0.500
Sn 0.500 0.500 0.000
Hg 0.000 0.500 0.500
Se 0.234 0.500 0.228
Se 0.237 0.000 0.757
Se 0.763 0.000 0.243
Se 0.766 0.500 0.772
CELL_PARAMETERS angstrom
7.148 0.000 0.000
0.000 4.136 0.000
-2.536 0.000 6.840
! ΔE_f (raw): -11.85 kcal/mol of atoms
! Electronic total energy: -27.9 eV per cell
! Total magnetic moment: 0.00 μB per formula unit